# 1
PmNdAl6: relaxed, PBE.

Computed properties:
The spin magnetization comes out at 0.0 μB per cell. For the calculated formation energy, the calculation gives -0.4482 eV/atom. The crystal system is hexagonal. The value obtained for the total energy is -35.559 eV per cell.

Lattice parameters (Å, degrees): 6.4616 6.4616 4.6507 90.00 90.00 120.00
Space group P-6m2 (No. 187)
Inequivalent atoms, fractional coordinates:
1 Pm 0.0000 0.0000 0.0000 [1 per cell]
2 Nd 0.3333 0.6667 0.5000 [1 per cell]
3 Al 0.3827 0.1913 0.5000 [3 per cell]
4 Al 0.5253 0.0506 0.0000 [3 per cell]

---

# 2
KMgTlCd: relaxed, PBE.

Computed properties:
The spin magnetization comes out at 0.0 μB per cell. For the calculated formation energy, the calculation gives 0.0360 eV/atom. The crystal system is cubic. The value obtained for the total energy is -23.317 eV per cell.

Lattice parameters (Å, degrees): 7.7795 7.7795 7.7795 90.00 90.00 90.00
Space group F-43m (No. 216)
Inequivalent atoms, fractional coordinates:
1 K 0.0000 0.0000 0.0000 [4 per cell]
2 Mg 0.0000 0.0000 0.5000 [4 per cell]
3 Tl 0.2500 0.2500 0.2500 [4 per cell]
4 Cd 0.2500 0.2500 0.7500 [4 per cell]

---

Volume
In order: 21.0 29.4
Unit: A^3/atom